[1]
Entry from the Alexandria database: crystalline CaMnGaP at its relaxed geometry (PBE-GGA).

Calculated values
The value obtained for the density of states at the Fermi level is 0.696 states/eV per atom. Its energy relative to the elements is -0.371 eV/atom. As for the excess energy over the best structure of this formula in the dataset: 4 meV per atom. The value obtained for the size of the total moment is 2.52 μB/f.u. The energy is -5.27 eV per atom.

Cell: 3.426 3.773 11.801 Å, 90.00 90.00 90.00°
Positions (direct):
1 Ca 0.000 0.000 0.000
2 Ca 0.000 0.500 0.500
3 Mn 0.000 0.000 0.739
4 Mn 0.000 0.500 0.239
5 Ga 0.500 0.000 0.287
6 Ga 0.500 0.500 0.787
7 P 0.500 0.000 0.609
8 P 0.500 0.500 0.109

***

[2]
Entry from the Alexandria database: crystalline Ca2MnGa5Pd2 at its relaxed geometry (PBE-GGA).

Calculated values
The value obtained for the density of states at the Fermi level is 0.518 states/eV per atom. Its energy relative to the elements is -0.435 eV/atom. The value obtained for the size of the total moment is 4.05 μB/f.u. The energy is -4.30 eV per atom.

Cell: 9.656 9.656 4.030 Å, 90.00 90.00 90.00°
Positions (direct):
1 Ca 0.182 0.318 0.000
2 Ca 0.318 0.818 0.000
3 Ca 0.682 0.182 0.000
4 Ca 0.818 0.682 0.000
5 Mn 0.000 0.000 0.000
6 Mn 0.500 0.500 0.000
7 Ga 0.000 0.500 0.500
8 Ga 0.055 0.804 0.500
9 Ga 0.196 0.055 0.500
10 Ga 0.304 0.555 0.500
11 Ga 0.445 0.304 0.500
12 Ga 0.500 0.000 0.500
13 Ga 0.555 0.696 0.500
14 Ga 0.696 0.445 0.500
15 Ga 0.804 0.945 0.500
16 Ga 0.945 0.196 0.500
17 Pd 0.115 0.615 0.000
18 Pd 0.385 0.115 0.000
19 Pd 0.615 0.885 0.000
20 Pd 0.885 0.385 0.000

***

[3]
Entry from the Alexandria database: crystalline Ca2MnGa2Pd5 at its relaxed geometry (PBE-GGA).

Calculated values
The value obtained for the density of states at the Fermi level is 0.483 states/eV per atom. Its energy relative to the elements is -0.597 eV/atom. The value obtained for the size of the total moment is 4.42 μB/f.u. The energy is -5.12 eV per atom.

Cell: 9.874 9.874 3.682 Å, 90.00 90.00 90.00°
Positions (direct):
1 Ca 0.175 0.325 0.000
2 Ca 0.325 0.825 0.000
3 Ca 0.675 0.175 0.000
4 Ca 0.825 0.675 0.000
5 Mn 0.000 0.000 0.000
6 Mn 0.500 0.500 0.000
7 Ga 0.124 0.624 0.000
8 Ga 0.376 0.124 0.000
9 Ga 0.624 0.876 0.000
10 Ga 0.876 0.376 0.000
11 Pd 0.000 0.500 0.500
12 Pd 0.065 0.798 0.500
13 Pd 0.202 0.065 0.500
14 Pd 0.298 0.565 0.500
15 Pd 0.435 0.298 0.500
16 Pd 0.500 0.000 0.500
17 Pd 0.565 0.702 0.500
18 Pd 0.702 0.435 0.500
19 Pd 0.798 0.935 0.500
20 Pd 0.935 0.202 0.500

***

[4]
Entry from the Alexandria database: crystalline Ca2MnGa3Pt4 at its relaxed geometry (PBE-GGA).

Calculated values
The value obtained for the density of states at the Fermi level is 0.273 states/eV per atom. Its energy relative to the elements is -0.795 eV/atom. The value obtained for the size of the total moment is 3.90 μB/f.u. The energy is -5.44 eV per atom.

Cell: 4.130 4.130 11.126 Å, 90.00 90.00 90.00°
Positions (direct):
1 Ca 0.000 0.500 0.250
2 Ca 0.500 0.000 0.750
3 Mn 0.000 0.000 0.500
4 Ga 0.000 0.500 0.866
5 Ga 0.500 0.000 0.134
6 Ga 0.500 0.500 0.500
7 Pt 0.000 0.000 0.000
8 Pt 0.000 0.500 0.642
9 Pt 0.500 0.000 0.358
10 Pt 0.500 0.500 0.000

***

[5]
Entry from the Alexandria database: crystalline Ca2MnGa4Pt3 at its relaxed geometry (PBE-GGA).

Calculated values
The value obtained for the density of states at the Fermi level is 0.464 states/eV per atom. Its energy relative to the elements is -0.711 eV/atom. The value obtained for the size of the total moment is 2.79 μB/f.u. The energy is -5.05 eV per atom.

Cell: 4.155 4.155 10.997 Å, 90.00 90.00 90.00°
Positions (direct):
1 Ca 0.000 0.500 0.249
2 Ca 0.500 0.000 0.751
3 Mn 0.500 0.500 0.000
4 Ga 0.000 0.000 0.500
5 Ga 0.000 0.500 0.865
6 Ga 0.500 0.000 0.135
7 Ga 0.500 0.500 0.500
8 Pt 0.000 0.000 0.000
9 Pt 0.000 0.500 0.636
10 Pt 0.500 0.000 0.364

***

[6]
Entry from the Alexandria database: crystalline CaMnGaRe2 at its relaxed geometry (PBE-GGA).

Calculated values
The value obtained for the density of states at the Fermi level is 1.803 states/eV per atom. Its energy relative to the elements is 3.108 eV/atom. The value obtained for the size of the total moment is 1.09 μB/f.u. The energy is -4.71 eV per atom.

Cell: 4.603 4.603 4.790 Å, 90.00 90.00 90.00°
Positions (direct):
1 Ca 0.000 0.000 0.000
2 Mn 0.500 0.500 0.500
3 Ga 0.000 0.000 0.500
4 Re 0.000 0.500 0.000
5 Re 0.500 0.000 0.000

***

What did the second record say?
Entry from the Alexandria database: crystalline Ca2MnGa5Pd2 at its relaxed geometry (PBE-GGA).

Calculated values
The value obtained for the density of states at the Fermi level is 0.518 states/eV per atom. Its energy relative to the elements is -0.435 eV/atom. The value obtained for the size of the total moment is 4.05 μB/f.u. The energy is -4.30 eV per atom.

Cell: 9.656 9.656 4.030 Å, 90.00 90.00 90.00°
Positions (direct):
1 Ca 0.182 0.318 0.000
2 Ca 0.318 0.818 0.000
3 Ca 0.682 0.182 0.000
4 Ca 0.818 0.682 0.000
5 Mn 0.000 0.000 0.000
6 Mn 0.500 0.500 0.000
7 Ga 0.000 0.500 0.500
8 Ga 0.055 0.804 0.500
9 Ga 0.196 0.055 0.500
10 Ga 0.304 0.555 0.500
11 Ga 0.445 0.304 0.500
12 Ga 0.500 0.000 0.500
13 Ga 0.555 0.696 0.500
14 Ga 0.696 0.445 0.500
15 Ga 0.804 0.945 0.500
16 Ga 0.945 0.196 0.500
17 Pd 0.115 0.615 0.000
18 Pd 0.385 0.115 0.000
19 Pd 0.615 0.885 0.000
20 Pd 0.885 0.385 0.000

***

> Among the records above, which one has the lowest energy?

Ca2MnGa3Pt4

***

> Which value of energy relative to the elements does entry 5 give?

-0.711 eV/atom

***

> Number 6 is which compound?

CaMnGaRe2